HoThGa4 | the Alexandria database | PBE | relaxed; ΔH_f (0 K) = -0.626 eV/atom; E above lowest polymorph = 0 meV/atom; DOS(E_F) = 1.748 states/eV/f.u.
1.0
-2.405 0.601 3.406
-1.435 -3.948 -0.316
7.414 -0.667 2.748
Ho Th Ga
1 1 4
Cartesian
0.000 0.000 0.000 Ho
2.030 -3.144 1.988 Th
0.622 -0.477 3.129 Ga
-1.022 -2.056 2.246 Ga
2.466 -1.262 4.570 Ga
4.596 -1.958 3.592 Ga

HoTh2Ga | the Alexandria database | PBE | relaxed; ΔH_f (0 K) = -0.180 eV/atom; E above lowest polymorph = 0 meV/atom; DOS(E_F) = 4.168 states/eV/f.u.
1.0
-1.937 -3.692 2.536
4.326 -1.198 1.561
-0.559 2.867 3.748
Ga Ho Th
1 1 2
Cartesian
-0.969 -1.846 1.268 Ga
0.915 -1.011 3.922 Ho
-0.279 1.434 1.874 Th
2.163 -0.599 0.780 Th

Ho2ThGa | the Alexandria database | PBE | relaxed; ΔH_f (0 K) = -0.191 eV/atom; E above lowest polymorph = 91 meV/atom; DOS(E_F) = 4.341 states/eV/f.u.
1.0
3.573 0.000 0.000
1.786 3.094 0.000
1.786 1.031 10.122
Ga Ho Th
1 2 1
Cartesian
0.000 0.000 0.000 Ga
1.786 1.031 2.213 Ho
5.359 3.094 7.908 Ho
3.573 2.063 5.061 Th

HoThGa4 | the Alexandria database | PBE | relaxed; ΔH_f (0 K) = -0.474 eV/atom; E above lowest polymorph = 152 meV/atom; DOS(E_F) = 4.208 states/eV/f.u.
1.0
5.597 0.000 0.000
2.798 4.847 0.000
2.798 1.616 4.570
Ga Ho Th
4 1 1
Cartesian
5.597 3.231 0.570 Ga
5.597 1.614 2.856 Ga
6.997 4.040 2.856 Ga
4.196 4.040 2.856 Ga
2.798 1.616 1.142 Ho
0.000 0.000 0.000 Th